Entry 1:
VASP calculation (GGA-PBE) on a geometry-optimized La2HgBr structure.

Crystal system ... orthorhombic
Raw total energy ... -3.7912 eV/atom
Space-group type ... Pmmm

Lattice parameters (Å, degrees): 3.874 3.889 8.653 90.00 90.00 90.00
Element x y z (fractional)
La 0.000 0.000 0.219
La 0.000 0.000 0.781
Hg 0.500 0.500 0.000
Br 0.500 0.000 0.500



Entry 2:
VASP calculation (GGA-PBE) on a geometry-optimized LaHgBr3 structure.

Crystal system ... trigonal
Raw total energy ... -3.6059 eV/atom
Space-group type ... R-3

Lattice parameters (Å, degrees): 10.920 10.920 10.920 41.66 41.66 41.66
Element x y z (fractional)
La 0.167 0.167 0.167
La 0.833 0.833 0.833
Hg 0.341 0.341 0.341
Hg 0.659 0.659 0.659
Br 0.070 0.442 0.821
Br 0.179 0.930 0.558
Br 0.442 0.821 0.070
Br 0.558 0.179 0.930
Br 0.821 0.070 0.442
Br 0.930 0.558 0.179



| no. | DOS at the Fermi energy (states/eV per atom) |
| --- | --- |
| 1 | 0.836 |
| 2 | 0.000 |